Entry 1:
{
  "formula": "SmY2ScSe6",
  "functional": "PBE-GGA",
  "state": "relaxed",
  "lattice_angstrom": [[3.576, 2.065, 6.434], [-3.576, 2.065, 6.434], [0.000, -4.129, 6.434]],
  "species": ["Sm", "Y", "Y", "Sc", "Se", "Se", "Se", "Se", "Se", "Se"],
  "frac_coords": [[0.000, 0.000, 0.000], [0.300, 0.300, 0.300], [0.804, 0.804, 0.804], [0.495, 0.495, 0.495], [0.105, 0.698, 0.406], [0.224, 0.594, 0.881], [0.406, 0.105, 0.698], [0.594, 0.881, 0.224], [0.698, 0.406, 0.105], [0.881, 0.224, 0.594]],
  "total_magnetization_mub_per_fu": 0.0,
  "e_form_raw_kj_per_mol_atoms": -173.5,
  "crystal_system": "trigonal",
  "dos_at_fermi_per_ev_cell": 0.000
}


Entry 2:
{
  "formula": "Ba4NdRu3O12",
  "functional": "PBE-GGA",
  "state": "relaxed",
  "lattice_angstrom": [[5.199, -2.998, 0.000], [5.199, 2.998, 0.000], [-4.050, 0.000, 9.970]],
  "species": ["Ba", "Ba", "Ba", "Ba", "Nd", "Ru", "Ru", "Ru", "O", "O", "O", "O", "O", "O", "O", "O", "O", "O", "O", "O"],
  "frac_coords": [[0.129, 0.129, 0.391], [0.275, 0.275, 0.848], [0.725, 0.725, 0.152], [0.871, 0.871, 0.609], [0.000, 0.000, 0.000], [0.429, 0.429, 0.243], [0.500, 0.500, 0.500], [0.571, 0.571, 0.757], [0.154, 0.615, 0.365], [0.241, 0.241, 0.108], [0.252, 0.722, 0.151], [0.278, 0.748, 0.849], [0.376, 0.376, 0.606], [0.385, 0.846, 0.635], [0.615, 0.154, 0.365], [0.624, 0.624, 0.394], [0.722, 0.252, 0.151], [0.748, 0.278, 0.849], [0.759, 0.759, 0.892], [0.846, 0.385, 0.635]],
  "total_magnetization_mub_per_fu": 2.9,
  "e_form_raw_kj_per_mol_atoms": -198.4,
  "crystal_system": "monoclinic",
  "dos_at_fermi_per_ev_cell": 9.669
}